# ThI2Cl (GGA-PBE, optimized geometry)
data_ThI2Cl
_chemical_formula_sum 'Th2 I4 Cl2'
_cell_length_a 10.381
_cell_length_b 3.826
_cell_length_c 9.279
_cell_angle_alpha 90.00
_cell_angle_beta 108.79
_cell_angle_gamma 90.00
_symmetry_space_group_name_H-M 'C 1 m 1'
_symmetry_Int_Tables_number 8
_symmetry_space_group_name_Hall 'C -2y'
loop_
_atom_site_label
_atom_site_fract_x
_atom_site_fract_y
_atom_site_fract_z
Th1 0.000 0.000 0.000
I1 0.023 0.500 0.277
I2 0.363 0.000 0.723
Cl1 0.216 0.500 0.000
# Energy relative to the elements, uncorrected ... -1381 meV per atom
# Uncorrected energy ... -4.473 eV/atom

***

# ThI3Cl (GGA-PBE, optimized geometry)
data_ThI3Cl
_chemical_formula_sum 'Th6 I18 Cl6'
_cell_length_a 8.4003
_cell_length_b 8.4003
_cell_length_c 23.8362
_cell_angle_alpha 90.00
_cell_angle_beta 90.00
_cell_angle_gamma 120.00
_symmetry_space_group_name_H-M 'R -3'
_symmetry_Int_Tables_number 148
_symmetry_space_group_name_Hall '-R 3'
loop_
_atom_site_label
_atom_site_fract_x
_atom_site_fract_y
_atom_site_fract_z
Th1 0.0000 0.0000 0.1975
I1 0.0146 0.7241 0.1066
Cl1 0.0000 0.0000 0.3052
# Energy above the lowest structure with this stoichiometry ... 0.0 meV/atom
# Energy relative to the elements, uncorrected ... -1422 meV per atom
# Uncorrected energy ... -4.206 eV/atom

***

# ThICl (GGA-PBE, optimized geometry)
data_ThICl
_chemical_formula_sum 'Th2 I2 Cl2'
_cell_length_a 3.689
_cell_length_b 3.689
_cell_length_c 14.353
_cell_angle_alpha 90.00
_cell_angle_beta 90.00
_cell_angle_gamma 90.00
_symmetry_space_group_name_H-M 'I 4 m m'
_symmetry_Int_Tables_number 107
_symmetry_space_group_name_Hall 'I 4 -2'
loop_
_atom_site_label
_atom_site_fract_x
_atom_site_fract_y
_atom_site_fract_z
Th1 0.000 0.000 0.000
I1 0.000 0.000 0.364
Cl1 0.000 0.000 0.610
# Energy above the lowest structure with this stoichiometry ... 196.3 meV/atom
# Energy relative to the elements, uncorrected ... -1213 meV per atom
# Uncorrected energy ... -4.819 eV/atom

***

# ThI3Cl (GGA-PBE, optimized geometry)
data_ThI3Cl
_chemical_formula_sum 'Th2 I6 Cl2'
_cell_length_a 4.119
_cell_length_b 12.913
_cell_length_c 9.232
_cell_angle_alpha 90.00
_cell_angle_beta 94.28
_cell_angle_gamma 90.00
_symmetry_space_group_name_H-M 'P 1 21/m 1'
_symmetry_Int_Tables_number 11
_symmetry_space_group_name_Hall '-P 2yb'
loop_
_atom_site_label
_atom_site_fract_x
_atom_site_fract_y
_atom_site_fract_z
Th1 0.022 0.250 0.212
I1 0.076 0.250 0.534
I2 0.469 0.564 0.733
Cl1 0.486 0.250 0.994
# Energy above the lowest structure with this stoichiometry ... 67.9 meV/atom
# Energy relative to the elements, uncorrected ... -1354 meV per atom
# Uncorrected energy ... -4.138 eV/atom

***

# ThICl (GGA-PBE, optimized geometry)
data_ThICl
_chemical_formula_sum 'Th2 I2 Cl2'
_cell_length_a 6.443
_cell_length_b 3.799
_cell_length_c 8.948
_cell_angle_alpha 90.00
_cell_angle_beta 92.01
_cell_angle_gamma 90.00
_symmetry_space_group_name_H-M 'P 1 21/m 1'
_symmetry_Int_Tables_number 11
_symmetry_space_group_name_Hall '-P 2yb'
loop_
_atom_site_label
_atom_site_fract_x
_atom_site_fract_y
_atom_site_fract_z
Th1 0.245 0.250 0.000
I1 0.401 0.750 0.736
Cl1 0.097 0.750 0.218
# Energy above the lowest structure with this stoichiometry ... 0.0 meV/atom
# Energy relative to the elements, uncorrected ... -1410 meV per atom
# Uncorrected energy ... -5.015 eV/atom

***

# ThICl (GGA-PBE, optimized geometry)
data_ThICl
_chemical_formula_sum 'Th4 I4 Cl4'
_cell_length_a 6.560
_cell_length_b 3.789
_cell_length_c 17.533
_cell_angle_alpha 90.00
_cell_angle_beta 99.93
_cell_angle_gamma 90.00
_symmetry_space_group_name_H-M 'C 1 m 1'
_symmetry_Int_Tables_number 8
_symmetry_space_group_name_Hall 'C -2y'
loop_
_atom_site_label
_atom_site_fract_x
_atom_site_fract_y
_atom_site_fract_z
Th1 0.000 0.000 0.000
Th2 0.220 0.000 0.472
I1 0.116 0.500 0.607
I2 0.271 0.000 0.865
Cl1 0.219 0.500 0.113
Cl2 0.335 0.500 0.359
# Energy above the lowest structure with this stoichiometry ... 20.0 meV/atom
# Energy relative to the elements, uncorrected ... -1390 meV per atom
# Uncorrected energy ... -4.995 eV/atom

***

# ThI2Cl8 (GGA-PBE, optimized geometry)
data_ThI2Cl8
_chemical_formula_sum 'Th2 I4 Cl16'
_cell_length_a 16.864
_cell_length_b 6.966
_cell_length_c 7.712
_cell_angle_alpha 90.00
_cell_angle_beta 111.02
_cell_angle_gamma 90.00
_symmetry_space_group_name_H-M 'C 1 2/m 1'
_symmetry_Int_Tables_number 12
_symmetry_space_group_name_Hall '-C 2y'
loop_
_atom_site_label
_atom_site_fract_x
_atom_site_fract_y
_atom_site_fract_z
Th1 0.000 0.000 0.000
I1 0.246 0.500 0.529
Cl1 0.087 0.000 0.392
Cl2 0.096 0.500 0.451
Cl3 0.110 0.256 0.969
# Energy relative to the elements, uncorrected ... -954 meV per atom
# Uncorrected energy ... -3.253 eV/atom

***

# ThICl2 (GGA-PBE, optimized geometry)
data_ThICl2
_chemical_formula_sum 'Th2 I2 Cl4'
_cell_length_a 13.888
_cell_length_b 6.244
_cell_length_c 3.714
_cell_angle_alpha 90.00
_cell_angle_beta 100.98
_cell_angle_gamma 90.00
_symmetry_space_group_name_H-M 'C 1 2/m 1'
_symmetry_Int_Tables_number 12
_symmetry_space_group_name_Hall '-C 2y'
loop_
_atom_site_label
_atom_site_fract_x
_atom_site_fract_y
_atom_site_fract_z
Th1 0.000 0.000 0.000
I1 0.000 0.500 0.000
Cl1 0.154 0.000 0.610
# Energy relative to the elements, uncorrected ... -1569 meV per atom
# Uncorrected energy ... -4.735 eV/atom

***

# ThICl (GGA-PBE, optimized geometry)
data_ThICl
_chemical_formula_sum 'Th2 I2 Cl2'
_cell_length_a 5.165
_cell_length_b 5.167
_cell_length_c 7.991
_cell_angle_alpha 90.00
_cell_angle_beta 98.69
_cell_angle_gamma 90.00
_symmetry_space_group_name_H-M 'P 1 21/m 1'
_symmetry_Int_Tables_number 11
_symmetry_space_group_name_Hall '-P 2yb'
loop_
_atom_site_label
_atom_site_fract_x
_atom_site_fract_y
_atom_site_fract_z
Th1 0.250 0.250 0.000
I1 0.189 0.750 0.740
Cl1 0.296 0.750 0.196
# Energy above the lowest structure with this stoichiometry ... 169.1 meV/atom
# Energy relative to the elements, uncorrected ... -1240 meV per atom
# Uncorrected energy ... -4.846 eV/atom

***

# ThICl (GGA-PBE, optimized geometry)
data_ThICl
_chemical_formula_sum 'Th1 I1 Cl1'
_cell_length_a 3.7880
_cell_length_b 3.7880
_cell_length_c 8.4751
_cell_angle_alpha 90.00
_cell_angle_beta 90.00
_cell_angle_gamma 120.00
_symmetry_space_group_name_H-M 'P 3 m 1'
_symmetry_Int_Tables_number 156
_symmetry_space_group_name_Hall 'P 3 -2"'
loop_
_atom_site_label
_atom_site_fract_x
_atom_site_fract_y
_atom_site_fract_z
Th1 0.0000 0.0000 0.0000
I1 0.3333 0.6667 0.7254
Cl1 0.6667 0.3333 0.2301
# Energy above the lowest structure with this stoichiometry ... 19.2 meV/atom
# Energy relative to the elements, uncorrected ... -1390 meV per atom
# Uncorrected energy ... -4.996 eV/atom

***

# Th2I8Cl (GGA-PBE, optimized geometry)
data_Th2I8Cl
_chemical_formula_sum 'Th4 I16 Cl2'
_cell_length_a 14.632
_cell_length_b 9.765
_cell_length_c 8.131
_cell_angle_alpha 90.00
_cell_angle_beta 109.62
_cell_angle_gamma 90.00
_symmetry_space_group_name_H-M 'C 1 2/m 1'
_symmetry_Int_Tables_number 12
_symmetry_space_group_name_Hall '-C 2y'
loop_
_atom_site_label
_atom_site_fract_x
_atom_site_fract_y
_atom_site_fract_z
Th1 0.198 0.000 0.015
I1 0.116 0.000 0.605
I2 0.148 0.307 0.083
I3 0.168 0.500 0.619
Cl1 0.000 0.000 0.000
# Energy relative to the elements, uncorrected ... -1135 meV per atom
# Uncorrected energy ... -3.779 eV/atom

***

# ThTi2I2Cl4 (GGA-PBE, optimized geometry)
data_ThTi2I2Cl4
_chemical_formula_sum 'Th1 Ti2 I2 Cl4'
_cell_length_a 3.5539
_cell_length_b 3.5539
_cell_length_c 23.2736
_cell_angle_alpha 90.00
_cell_angle_beta 90.00
_cell_angle_gamma 120.00
_symmetry_space_group_name_H-M 'P 3 m 1'
_symmetry_Int_Tables_number 156
_symmetry_space_group_name_Hall 'P 3 -2"'
loop_
_atom_site_label
_atom_site_fract_x
_atom_site_fract_y
_atom_site_fract_z
Th1 0.0000 0.0000 0.0000
Ti1 0.0000 0.0000 0.6429
Ti2 0.6667 0.3333 0.3451
I1 0.6667 0.3333 0.1050
I2 0.6667 0.3333 0.8950
Cl1 0.0000 0.0000 0.2799
Cl2 0.0000 0.0000 0.4103
Cl3 0.6667 0.3333 0.5777
Cl4 0.6667 0.3333 0.7081
# Energy relative to the elements, uncorrected ... -1183 meV per atom
# Uncorrected energy ... -4.928 eV/atom

***

# ThTl2I4Cl2 (GGA-PBE, optimized geometry)
data_ThTl2I4Cl2
_chemical_formula_sum 'Th2 Tl4 I8 Cl4'
_cell_length_a 14.377
_cell_length_b 8.623
_cell_length_c 7.513
_cell_angle_alpha 90.00
_cell_angle_beta 113.00
_cell_angle_gamma 90.00
_symmetry_space_group_name_H-M 'C 1 2/m 1'
_symmetry_Int_Tables_number 12
_symmetry_space_group_name_Hall '-C 2y'
loop_
_atom_site_label
_atom_site_fract_x
_atom_site_fract_y
_atom_site_fract_z
Th1 0.000 0.000 0.000
Tl1 0.232 0.500 0.210
I1 0.086 0.253 0.812
Cl1 0.172 0.000 0.308
# Energy relative to the elements, uncorrected ... -1217 meV per atom
# Uncorrected energy ... -3.667 eV/atom

***

# TiI3Cl (GGA-PBE, optimized geometry)
data_TiI3Cl
_chemical_formula_sum 'Ti4 I12 Cl4'
_cell_length_a 9.074
_cell_length_b 15.558
_cell_length_c 7.533
_cell_angle_alpha 90.00
_cell_angle_beta 90.00
_cell_angle_gamma 90.00
_symmetry_space_group_name_H-M 'C m c 21'
_symmetry_Int_Tables_number 36
_symmetry_space_group_name_Hall 'C 2c -2'
loop_
_atom_site_label
_atom_site_fract_x
_atom_site_fract_y
_atom_site_fract_z
Ti1 0.000 0.169 0.000
I1 0.000 0.323 0.115
I2 0.229 0.091 0.114
Cl1 0.000 0.169 0.710
# Energy above the lowest structure with this stoichiometry ... 0.0 meV/atom
# Energy relative to the elements, uncorrected ... -953 meV per atom
# Uncorrected energy ... -3.831 eV/atom

***

# Ti3ICl7 (GGA-PBE, optimized geometry)
data_Ti3ICl7
_chemical_formula_sum 'Ti3 I1 Cl7'
_cell_length_a 6.9481
_cell_length_b 6.9481
_cell_length_c 7.2431
_cell_angle_alpha 90.00
_cell_angle_beta 90.00
_cell_angle_gamma 120.00
_symmetry_space_group_name_H-M 'P 3 m 1'
_symmetry_Int_Tables_number 156
_symmetry_space_group_name_Hall 'P 3 -2"'
loop_
_atom_site_label
_atom_site_fract_x
_atom_site_fract_y
_atom_site_fract_z
Ti1 0.0386 0.5193 0.0000
I1 0.3333 0.6667 0.2947
Cl1 0.1717 0.3433 0.7943
Cl2 0.3399 0.1699 0.1728
Cl3 0.6667 0.3333 0.8092
# Energy relative to the elements, uncorrected ... -1486 meV per atom
# Uncorrected energy ... -4.955 eV/atom

***

# Ti6ICl12 (GGA-PBE, optimized geometry)
data_Ti6ICl12
_chemical_formula_sum 'Ti18 I3 Cl36'
_cell_length_a 12.1175
_cell_length_b 12.1175
_cell_length_c 11.7843
_cell_angle_alpha 90.00
_cell_angle_beta 90.00
_cell_angle_gamma 120.00
_symmetry_space_group_name_H-M 'R -3 m'
_symmetry_Int_Tables_number 166
_symmetry_space_group_name_Hall '-R 3 2"'
loop_
_atom_site_label
_atom_site_fract_x
_atom_site_fract_y
_atom_site_fract_z
Ti1 0.0793 0.1586 0.2800
I1 0.0000 0.0000 0.5000
Cl1 0.0000 0.3706 0.0000
Cl2 0.0895 0.1791 0.8491
# Energy relative to the elements, uncorrected ... -1231 meV per atom
# Uncorrected energy ... -4.972 eV/atom

***

# Ti3I2Cl4 (GGA-PBE, optimized geometry)
data_Ti3I2Cl4
_chemical_formula_sum 'Ti3 I2 Cl4'
_cell_length_a 3.4588
_cell_length_b 3.4588
_cell_length_c 25.6052
_cell_angle_alpha 90.00
_cell_angle_beta 90.00
_cell_angle_gamma 120.00
_symmetry_space_group_name_H-M 'P -6 m 2'
_symmetry_Int_Tables_number 187
_symmetry_space_group_name_Hall 'P -6 2'
loop_
_atom_site_label
_atom_site_fract_x
_atom_site_fract_y
_atom_site_fract_z
Ti1 0.0000 0.0000 0.0000
Ti2 0.3333 0.6667 0.2951
I1 0.3333 0.6667 0.0740
Cl1 0.0000 0.0000 0.2350
Cl2 0.0000 0.0000 0.3552
# Energy relative to the elements, uncorrected ... -1139 meV per atom
# Uncorrected energy ... -4.936 eV/atom

***

# TiI3Cl (GGA-PBE, optimized geometry)
data_TiI3Cl
_chemical_formula_sum 'Ti1 I3 Cl1'
_cell_length_a 5.730
_cell_length_b 5.730
_cell_length_c 5.730
_cell_angle_alpha 90.00
_cell_angle_beta 90.00
_cell_angle_gamma 90.00
_symmetry_space_group_name_H-M 'P m -3 m'
_symmetry_Int_Tables_number 221
_symmetry_space_group_name_Hall '-P 4 2 3'
loop_
_atom_site_label
_atom_site_fract_x
_atom_site_fract_y
_atom_site_fract_z
Ti1 0.000 0.000 0.000
I1 0.000 0.500 0.500
Cl1 0.500 0.500 0.500
# Energy above the lowest structure with this stoichiometry ... 1796.3 meV/atom
# Energy relative to the elements, uncorrected ... 843 meV per atom
# Uncorrected energy ... -2.035 eV/atom

***

# Ti2ICl4 (GGA-PBE, optimized geometry)
data_Ti2ICl4
_chemical_formula_sum 'Ti16 I8 Cl32'
_cell_length_a 13.592
_cell_length_b 16.625
_cell_length_c 7.491
_cell_angle_alpha 90.00
_cell_angle_beta 90.00
_cell_angle_gamma 90.00
_symmetry_space_group_name_H-M 'F d d 2'
_symmetry_Int_Tables_number 43
_symmetry_space_group_name_Hall 'F 2 -2d'
loop_
_atom_site_label
_atom_site_fract_x
_atom_site_fract_y
_atom_site_fract_z
Ti1 0.120 0.417 0.000
I1 0.000 0.000 0.265
Cl1 0.032 0.392 0.266
Cl2 0.059 0.292 0.860
# Energy relative to the elements, uncorrected ... -1241 meV per atom
# Uncorrected energy ... -4.773 eV/atom

***

# Ti3I7Cl (GGA-PBE, optimized geometry)
data_Ti3I7Cl
_chemical_formula_sum 'Ti3 I7 Cl1'
_cell_length_a 7.7034
_cell_length_b 7.7034
_cell_length_c 7.4053
_cell_angle_alpha 90.00
_cell_angle_beta 90.00
_cell_angle_gamma 120.00
_symmetry_space_group_name_H-M 'P 3 m 1'
_symmetry_Int_Tables_number 156
_symmetry_space_group_name_Hall 'P 3 -2"'
loop_
_atom_site_label
_atom_site_fract_x
_atom_site_fract_y
_atom_site_fract_z
Ti1 0.0554 0.5277 0.0000
I1 0.1674 0.3348 0.2424
I2 0.3316 0.1658 0.7919
I3 0.6667 0.3333 0.1996
Cl1 0.3333 0.6667 0.7749
# Energy relative to the elements, uncorrected ... -825 meV per atom
# Uncorrected energy ... -4.133 eV/atom

***

# Ti2I3Cl4 (GGA-PBE, optimized geometry)
data_Ti2I3Cl4
_chemical_formula_sum 'Ti8 I12 Cl16'
_cell_length_a 15.542
_cell_length_b 10.777
_cell_length_c 7.118
_cell_angle_alpha 90.00
_cell_angle_beta 107.03
_cell_angle_gamma 90.00
_symmetry_space_group_name_H-M 'C 1 2/c 1'
_symmetry_Int_Tables_number 15
_symmetry_space_group_name_Hall '-C 2yc'
loop_
_atom_site_label
_atom_site_fract_x
_atom_site_fract_y
_atom_site_fract_z
Ti1 0.170 0.154 0.320
I1 0.000 0.041 0.250
I2 0.099 0.326 0.069
Cl1 0.171 0.288 0.595
Cl2 0.208 0.018 0.085
# Energy relative to the elements, uncorrected ... -1126 meV per atom
# Uncorrected energy ... -4.218 eV/atom

***

# Ti2ICl3 (GGA-PBE, optimized geometry)
data_Ti2ICl3
_chemical_formula_sum 'Ti8 I4 Cl12'
_cell_length_a 22.710
_cell_length_b 3.525
_cell_length_c 9.133
_cell_angle_alpha 90.00
_cell_angle_beta 109.72
_cell_angle_gamma 90.00
_symmetry_space_group_name_H-M 'C 1 2/m 1'
_symmetry_Int_Tables_number 12
_symmetry_space_group_name_Hall '-C 2y'
loop_
_atom_site_label
_atom_site_fract_x
_atom_site_fract_y
_atom_site_fract_z
Ti1 0.086 0.000 0.139
Ti2 0.213 0.500 0.379
I1 0.164 0.500 0.048
Cl1 0.023 0.000 0.860
Cl2 0.100 0.500 0.340
Cl3 0.217 0.500 0.649
# Energy relative to the elements, uncorrected ... -1173 meV per atom
# Uncorrected energy ... -4.986 eV/atom

***

# TiI3Cl (GGA-PBE, optimized geometry)
data_TiI3Cl
_chemical_formula_sum 'Ti1 I3 Cl1'
_cell_length_a 5.460
_cell_length_b 5.460
_cell_length_c 5.460
_cell_angle_alpha 90.00
_cell_angle_beta 90.00
_cell_angle_gamma 90.00
_symmetry_space_group_name_H-M 'P m -3 m'
_symmetry_Int_Tables_number 221
_symmetry_space_group_name_Hall '-P 4 2 3'
loop_
_atom_site_label
_atom_site_fract_x
_atom_site_fract_y
_atom_site_fract_z
Ti1 0.000 0.000 0.000
I1 0.000 0.000 0.500
Cl1 0.500 0.500 0.500
# Energy above the lowest structure with this stoichiometry ... 612.0 meV/atom
# Energy relative to the elements, uncorrected ... -341 meV per atom
# Uncorrected energy ... -3.219 eV/atom